Material: Tb2Y3Tm3
Method: DFT, PBE-GGA
State: optimized geometry

Cell lengths 8.497, 8.497, 5.986 Å; angles 110.35, 110.35, 39.15 degrees
Fractional positions:
1 Tb 0.250 0.250 0.184
2 Tb 0.750 0.750 0.816
3 Y 0.000 0.000 0.000
4 Y 0.131 0.131 0.576
5 Y 0.869 0.869 0.424
6 Tm 0.370 0.370 0.817
7 Tm 0.500 0.500 0.500
8 Tm 0.630 0.630 0.183

DOS at the Fermi energy (states/eV per cell): 15.8
E_tot (eV per atom): -5.16
Offset from the most stable computed form (kcal/mol of atoms): 0.00
Formation enthalpy at 0 K (eV per formula unit): 0.8

***

Material: TbY2Tm
Method: DFT, PBE-GGA
State: optimized geometry

Cell lengths 5.016, 5.016, 5.025 Å; angles 90.00, 90.00, 90.00 degrees
Fractional positions:
1 Tb 0.000 0.000 0.000
2 Y 0.000 0.500 0.500
3 Y 0.500 0.000 0.500
4 Tm 0.500 0.500 0.000

DOS at the Fermi energy (states/eV per cell): 5.9
E_tot (eV per atom): -5.48
Offset from the most stable computed form (kcal/mol of atoms): 0.53
Formation enthalpy at 0 K (eV per formula unit): 0.1